Material: Cs3Sn2I2Cl5
Method: DFT, GGA-PBE
State: optimized geometry

Values from the calculation:
space group = I4/mmm, No. 139
total magnetic moment = 0.00 μB/f.u.
energy = -3.32 eV per atom

Cell lengths 15.770, 15.770, 15.770 Å; angles 159.34, 159.34, 29.38 degrees
Positions (direct):
Cs 0.000 0.000 0.000
Cs 0.173 0.173 0.000
Cs 0.827 0.827 0.000
Sn 0.407 0.407 0.000
Sn 0.593 0.593 0.000
I 0.303 0.303 0.000
I 0.697 0.697 0.000
Cl 0.090 0.590 0.500
Cl 0.410 0.910 0.500
Cl 0.500 0.500 0.000
Cl 0.590 0.090 0.500
Cl 0.910 0.410 0.500